No. 1
# Ga5NiRh

A relaxed Ga5NiRh crystal (PBE, the Alexandria database).

SG: C2/c

Cell: 6.293 6.293 8.844 Å, 68.52 68.52 68.40°
Element x y z (fractional)
Ga1 0.791 0.721 0.123
Ga2 0.315 0.669 0.454
Ga3 0.721 0.791 0.623
Ga4 0.927 0.073 0.250
Ga5 0.331 0.685 0.046
Ga6 0.669 0.315 0.954
Ga7 0.073 0.927 0.750
Ga8 0.279 0.209 0.377
Ga9 0.685 0.331 0.546
Ga10 0.209 0.279 0.877
Ni1 0.000 0.000 0.000
Ni2 0.000 0.000 0.500
Rh1 0.571 0.429 0.250
Rh2 0.429 0.571 0.750

---

No. 2
# GaNiRh3

A relaxed GaNiRh3 crystal (PBE, the Alexandria database).

SG: C2/c
Excess energy over the best structure of this formula in the dataset (eV/atom): 0.165

Cell: 7.658 6.669 6.669 Å, 74.30 65.85 65.85°
Element x y z (fractional)
Ga1 0.250 0.957 0.043
Ga2 0.750 0.043 0.957
Ga3 0.250 0.390 0.610
Ga4 0.750 0.610 0.390
Ni1 0.671 0.433 0.836
Ni2 0.829 0.164 0.567
Ni3 0.329 0.567 0.164
Ni4 0.171 0.836 0.433
Rh1 0.622 0.713 0.055
Rh2 0.878 0.945 0.287
Rh3 0.378 0.287 0.945
Rh4 0.122 0.055 0.713
Rh5 0.957 0.328 0.013
Rh6 0.543 0.987 0.672
Rh7 0.043 0.672 0.987
Rh8 0.457 0.013 0.328
Rh9 0.402 0.659 0.662
Rh10 0.098 0.338 0.341
Rh11 0.598 0.341 0.338
Rh12 0.902 0.662 0.659

---

No. 3
# Ga8NiRh2

A relaxed Ga8NiRh2 crystal (PBE, the Alexandria database).

SG: C2/m

Cell: 4.846 7.000 7.000 Å, 60.52 109.59 109.59°
Element x y z (fractional)
Ga1 0.300 0.369 0.813
Ga2 0.700 0.187 0.631
Ga3 0.170 0.840 0.840
Ga4 0.830 0.160 0.160
Ga5 0.300 0.813 0.369
Ga6 0.700 0.631 0.187
Ga7 0.801 0.605 0.605
Ga8 0.199 0.395 0.395
Ni1 0.000 0.000 0.000
Rh1 0.588 0.767 0.767
Rh2 0.412 0.233 0.233

---

No. 4
# Ga2Ni2Rh

A relaxed Ga2Ni2Rh crystal (PBE, the Alexandria database).

SG: I4/mmm
Excess energy over the best structure of this formula in the dataset (eV/atom): 0.100

Cell: 3.419 3.419 6.344 Å, 74.36 74.36 90.00°
Element x y z (fractional)
Ni1 0.750 0.250 0.500
Ni2 0.250 0.750 0.500
Rh1 0.000 0.000 0.000
Ga1 0.393 0.393 0.213
Ga2 0.607 0.607 0.787

---

No. 5
# GaNiRh6

A relaxed GaNiRh6 crystal (PBE, the Alexandria database).

SG: C2/m
Excess energy over the best structure of this formula in the dataset (eV/atom): 0.000

Cell: 3.828 4.659 7.136 Å, 77.76 74.44 65.75°
Last column: magnetic moment on the atom in μB.
Element x y z (fractional)
Ga1 0.000 0.500 0.500  -0.01
Ni1 0.000 0.000 0.000  0.47
Rh1 0.250 0.874 0.627  0.04
Rh2 0.500 0.244 0.755  0.07
Rh3 0.250 0.376 0.124  0.10
Rh4 0.500 0.756 0.245  0.07
Rh5 0.750 0.126 0.373  0.04
Rh6 0.750 0.624 0.876  0.10

---

No. 6
# Ga4NiRh3

A relaxed Ga4NiRh3 crystal (PBE, the Alexandria database).

SG: Fmmm

Cell: 4.369 4.369 6.646 Å, 111.33 111.33 83.96°
Element x y z (fractional)
Ni1 0.500 0.000 0.000
Rh1 0.000 0.500 0.000
Rh2 0.746 0.246 0.492
Rh3 0.254 0.754 0.508
Ga1 0.377 0.377 0.753
Ga2 0.623 0.623 0.247
Ga3 0.123 0.123 0.247
Ga4 0.877 0.877 0.753

---

| no. | ΔH_f (0 K) (kJ/mol of atoms) |
| --- | --- |
| 1 | -18.6 |
| 2 | -7.5 |
| 3 | -26.1 |
| 4 | -20.7 |
| 5 | -14.1 |
| 6 | -55.5 |